1.
{
  "formula": "NaTb2IrO6",
  "functional": "PBE",
  "state": "optimized geometry",
  "e_form_raw_ev_per_fu": -22.361,
  "lattice_angstrom": [[-3.9534, -3.3758, 2.1933], [1.0967, -2.9625, 4.6754], [-2.6380, 1.6795, 5.0879]],
  "species": ["Na", "Tb", "O", "O", "O", "Tb", "Ir", "O", "O", "O"],
  "fractional_positions": [[0.8029, 0.8029, 0.5912], [0.0188, 0.0188, 0.9436], [0.9652, 0.5714, 0.2385], [0.2250, 0.9652, 0.2385], [0.1343, 0.4087, 0.7741], [0.5282, 0.5282, 0.4154], [0.3242, 0.3242, 0.0274], [0.4087, 0.6830, 0.7740], [0.6830, 0.1343, 0.7740], [0.5713, 0.2250, 0.2385]]
}

***

2.
{
  "formula": "La9Nd4Tm",
  "functional": "PBE",
  "state": "optimized geometry",
  "formation_energy_ev_per_atom": 0.142,
  "lattice_angstrom": [[-0.4133, -0.0385, -11.6384], [-8.4733, -5.4790, 0.3190], [-0.5062, 10.0827, -0.0153]],
  "species": ["La", "Tm", "Nd", "La", "La", "Nd", "La", "Nd", "La", "Nd", "Tm", "Nd", "La", "La", "La", "La", "La", "La", "La", "La", "La", "Nd", "La", "La", "Nd", "La", "Nd", "La"],
  "fractional_positions": [[0.0304, 0.7926, 0.2074], [0.2500, 0.6667, 0.3333], [0.0000, 0.0000, 0.0000], [0.7500, 0.5393, 0.4607], [0.9696, 0.2074, 0.4148], [0.7500, 0.2272, 0.1136], [0.7500, 0.9214, 0.4607], [0.7500, 0.8864, 0.7728], [0.9696, 0.5852, 0.7926], [0.2500, 0.7728, 0.8864], [0.7500, 0.3333, 0.6667], [0.5000, 0.0000, 0.0000], [0.4696, 0.7926, 0.2074], [0.2500, 0.4607, 0.9214], [0.2500, 0.0786, 0.5393], [0.2500, 0.4607, 0.5393], [0.9696, 0.2074, 0.7926], [0.5304, 0.2074, 0.4148], [0.0304, 0.7926, 0.5852], [0.4696, 0.7926, 0.5852], [0.5304, 0.2074, 0.7926], [0.7500, 0.8864, 0.1136], [0.0304, 0.4148, 0.2074], [0.7500, 0.5393, 0.0786], [0.2500, 0.1136, 0.8864], [0.5304, 0.5852, 0.7926], [0.2500, 0.1136, 0.2272], [0.4696, 0.4148, 0.2074]]
}

***

3.
{
  "formula": "Zn2HPd2",
  "functional": "PBE",
  "state": "optimized geometry",
  "relative_energy_mev_per_atom": 353,
  "lattice_angstrom": [[-2.8497, 2.0150, 6.2315], [4.1620, -4.6899, 3.4198], [2.0907, 2.0655, 0.2882]],
  "species": ["H", "Zn", "Zn", "Pd", "Zn", "Zn", "H", "Pd", "Pd", "Pd"],
  "fractional_positions": [[0.5000, 0.5000, 0.0000], [0.8391, 0.6609, 0.0000], [0.6609, 0.1609, 0.0000], [0.3625, 0.1375, 0.5000], [0.3391, 0.8391, 0.0000], [0.1609, 0.3391, 0.0000], [0.0000, 0.0000, 0.0000], [0.8625, 0.3625, 0.5000], [0.1375, 0.6375, 0.5000], [0.6375, 0.8625, 0.5000]]
}

***

4.
{
  "formula": "NaSr2Bi6",
  "functional": "PBE",
  "state": "optimized geometry",
  "formation_energy_ev_per_atom": -0.312,
  "lattice_angstrom": [[-3.1212, 2.5718, -2.2727], [-8.3831, -1.9811, 4.6078], [-3.2896, 6.1631, 6.8286]],
  "species": ["Sr", "Bi", "Bi", "Bi", "Na", "Bi", "Bi", "Sr", "Bi"],
  "fractional_positions": [[0.9170, 0.6381, 0.6381], [0.7418, 0.5904, 0.0371], [0.5543, 0.3381, 0.6619], [0.3680, 0.9629, 0.4096], [0.5626, 0.0001, 0.0001], [0.3680, 0.4096, 0.9629], [0.5543, 0.6619, 0.3381], [0.1923, 0.3619, 0.3619], [0.7418, 0.0371, 0.5904]]
}

***

Table of calculated total energy (eV per atom), in record order: -7.155; -4.707; -3.105; -3.419
Table of DOS at the Fermi energy (states/eV per cell), in record order: 5.93; 47.08; 3.51; 4.76